# DyMg2Rh (PBE-GGA, optimized geometry)
# D(E_F): 0.6377 states/eV per atom
# Volume: 687.5 Å³ per cell
# ΔH_f (0 K): -0.4834 eV/atom
data_DyMg2Rh
_chemical_formula_sum 'Dy8 Mg16 Rh8'
_cell_length_a 15.165
_cell_length_b 8.400
_cell_length_c 5.397
_cell_angle_alpha 90.00
_cell_angle_beta 90.00
_cell_angle_gamma 90.00
_symmetry_space_group_name_H-M 'P 1'
_symmetry_Int_Tables_number 1
_symmetry_space_group_name_Hall 'P 1'
loop_
_atom_site_label
_atom_site_type_symbol
_atom_site_fract_x
_atom_site_fract_y
_atom_site_fract_z
_atom_site_occupancy
Dy1 Dy 0.105 0.250 0.247 1
Dy2 Dy 0.136 0.750 0.039 1
Dy3 Dy 0.364 0.250 0.539 1
Dy4 Dy 0.395 0.750 0.747 1
Dy5 Dy 0.605 0.250 0.253 1
Dy6 Dy 0.636 0.750 0.461 1
Dy7 Dy 0.864 0.250 0.961 1
Dy8 Dy 0.895 0.750 0.753 1
Mg1 Mg 0.041 0.055 0.738 1
Mg2 Mg 0.041 0.445 0.738 1
Mg3 Mg 0.213 0.556 0.531 1
Mg4 Mg 0.213 0.944 0.531 1
Mg5 Mg 0.287 0.056 0.031 1
Mg6 Mg 0.287 0.444 0.031 1
Mg7 Mg 0.459 0.555 0.238 1
Mg8 Mg 0.459 0.945 0.238 1
Mg9 Mg 0.541 0.055 0.762 1
Mg10 Mg 0.541 0.445 0.762 1
Mg11 Mg 0.713 0.556 0.969 1
Mg12 Mg 0.713 0.944 0.969 1
Mg13 Mg 0.787 0.056 0.469 1
Mg14 Mg 0.787 0.444 0.469 1
Mg15 Mg 0.959 0.555 0.262 1
Mg16 Mg 0.959 0.945 0.262 1
Rh1 Rh 0.067 0.750 0.539 1
Rh2 Rh 0.189 0.250 0.731 1
Rh3 Rh 0.311 0.750 0.231 1
Rh4 Rh 0.433 0.250 0.039 1
Rh5 Rh 0.567 0.750 0.961 1
Rh6 Rh 0.689 0.250 0.769 1
Rh7 Rh 0.811 0.750 0.269 1
Rh8 Rh 0.933 0.250 0.461 1

# Dy4MgRh (PBE-GGA, optimized geometry)
# D(E_F): 0.7550 states/eV per atom
# Volume: 642.8 Å³ per cell
# ΔH_f (0 K): -0.4036 eV/atom
data_Dy4MgRh
_chemical_formula_sum 'Dy16 Mg4 Rh4'
_cell_length_a 9.687
_cell_length_b 9.687
_cell_length_c 9.687
_cell_angle_alpha 60.00
_cell_angle_beta 60.00
_cell_angle_gamma 60.00
_symmetry_space_group_name_H-M 'P 1'
_symmetry_Int_Tables_number 1
_symmetry_space_group_name_Hall 'P 1'
loop_
_atom_site_label
_atom_site_type_symbol
_atom_site_fract_x
_atom_site_fract_y
_atom_site_fract_z
_atom_site_occupancy
Dy1 Dy 0.185 0.185 0.815 1
Dy2 Dy 0.185 0.815 0.185 1
Dy3 Dy 0.185 0.815 0.815 1
Dy4 Dy 0.403 0.403 0.403 1
Dy5 Dy 0.403 0.403 0.792 1
Dy6 Dy 0.403 0.792 0.403 1
Dy7 Dy 0.562 0.562 0.938 1
Dy8 Dy 0.562 0.938 0.562 1
Dy9 Dy 0.562 0.938 0.938 1
Dy10 Dy 0.792 0.403 0.403 1
Dy11 Dy 0.815 0.185 0.185 1
Dy12 Dy 0.815 0.185 0.815 1
Dy13 Dy 0.815 0.815 0.185 1
Dy14 Dy 0.938 0.562 0.562 1
Dy15 Dy 0.938 0.562 0.938 1
Dy16 Dy 0.938 0.938 0.562 1
Mg1 Mg 0.170 0.170 0.170 1
Mg2 Mg 0.170 0.170 0.489 1
Mg3 Mg 0.170 0.489 0.170 1
Mg4 Mg 0.489 0.170 0.170 1
Rh1 Rh 0.176 0.608 0.608 1
Rh2 Rh 0.608 0.176 0.608 1
Rh3 Rh 0.608 0.608 0.176 1
Rh4 Rh 0.608 0.608 0.608 1

- Among the records above, which one has the highest volume?
  DyMg2Rh